(1)
First-principles (PBE-GGA) data for a geometry-optimized PrErNiPd structure, as listed in the Alexandria database.

## Properties
- E_tot (hartree per atom) = -0.20852
- space group = No. 38
- E_form (eV/f.u.) = -2.380
- energy relative to the lowest polymorph listed for this composition (eV per atom) = 0.000

Cell: 4.5051 5.5222 5.5222 Å, 40.65 90.00 90.00°
With the nearest neighbours (Å) after each atom.
Positions (direct):
Pr1 0.0000 0.0000 0.0000  3 Ni 2.85-3.01, 4 Pd 3.04
Er1 0.5000 0.7214 0.7214  3 Pd 2.90-3.00, 4 Ni 3.01
Ni1 0.0000 0.2755 0.2755  2 Pd 2.78, 3 Pr 2.85-3.01, 4 Er 3.01
Pd1 0.5000 0.4320 0.4320  2 Ni 2.78, 3 Er 2.90-3.00, 4 Pr 3.04



(2)
First-principles (PBE-GGA) data for a geometry-optimized Er2Si3Ni12Pd structure, as listed in the Alexandria database.

## Properties
- E_form (uncorrected) (eV/atom) = -0.14
- E_tot (hartree per atom) = -0.20909
- space group = No. 166

Cell: 6.2601 6.2601 6.2601 Å, 85.34 85.34 85.34°
With the nearest neighbours (Å) after each atom.
Positions (direct):
Er1 0.1649 0.1649 0.1649  6 Ni 2.47-2.72
Er2 0.8351 0.8351 0.8351  6 Ni 2.47-2.72
Si1 0.0000 0.5000 0.5000  2 Ni 2.24
Si2 0.5000 0.0000 0.5000  2 Ni 2.24
Si3 0.5000 0.5000 0.0000  2 Ni 2.24
Ni1 0.1119 0.1119 0.6018  2 Ni 2.33-2.54, 2 Si 2.52
Ni2 0.1119 0.6018 0.1119  2 Ni 2.33-2.54, 2 Si 2.52
Ni3 0.1925 0.6915 0.6915  1 Si 2.24, 1 Ni 2.33, 1 Pd 2.46, 1 Er 2.47
Ni4 0.3085 0.3085 0.8075  1 Si 2.24, 1 Ni 2.33, 1 Pd 2.46, 1 Er 2.47
Ni5 0.3085 0.8075 0.3085  1 Si 2.24, 1 Ni 2.33, 1 Pd 2.46, 1 Er 2.47
Ni6 0.3982 0.8881 0.8881  2 Ni 2.33-2.54, 2 Si 2.52
Ni7 0.6018 0.1119 0.1119  2 Ni 2.33-2.54, 2 Si 2.52
Ni8 0.6915 0.1925 0.6915  1 Si 2.24, 1 Ni 2.33, 1 Pd 2.46, 1 Er 2.47
Ni9 0.6915 0.6915 0.1925  1 Si 2.24, 1 Ni 2.33, 1 Pd 2.46, 1 Er 2.47
Ni10 0.8075 0.3085 0.3085  1 Si 2.24, 1 Ni 2.33, 1 Pd 2.46, 1 Er 2.47
Ni11 0.8881 0.3982 0.8881  2 Ni 2.33-2.54, 2 Si 2.52
Ni12 0.8881 0.8881 0.3982  2 Ni 2.33-2.54, 2 Si 2.52
Pd1 0.5000 0.5000 0.5000  6 Ni 2.46